[1]
The following is a GGA-PBE calculation of NpBeSi after structural relaxation, from OQMD.

```
3
Lattice="0.0000 2.9626 2.9626 2.9626 0.0000 2.9626 2.9626 2.9626 0.0000" Properties=species:S:1:pos:R:3 pbc="T T T"
Np 1.4813 1.4813 1.4813
Si 4.4438 4.4438 4.4438
Be 0.0000 0.0000 0.0000
```

Calculated values
Total DFT energy (no corrections)   -7.204 eV per atom
Crystal system   cubic
Space group   F-43m (216)

[2]
The following is a GGA-PBE calculation of NpBeSi after structural relaxation, from OQMD.

```
12
Lattice="6.9480 0.0000 0.0000 0.0000 3.5262 0.0000 0.0000 0.0000 7.1267" Properties=species:S:1:pos:R:3 pbc="T T T"
Np 6.9436 2.6447 4.3997
Be 1.2109 2.6447 0.7592
Si 4.5988 0.8816 4.2641
Be 2.2631 0.8816 4.3226
Si 1.1248 0.8816 6.4259
Np 3.4784 0.8816 0.8364
Si 2.3492 2.6447 2.8626
Np 3.4696 2.6447 6.2903
Be 5.7371 0.8816 6.3674
Si 5.8232 2.6447 0.7008
Be 4.6849 2.6447 2.8041
Np 0.0044 0.8816 2.7269
```

Calculated values
Total DFT energy (no corrections)   -7.601 eV per atom
Crystal system   orthorhombic
Space group   Pnma (62)

[3]
The following is a GGA-PBE calculation of SmNpBe after structural relaxation, from OQMD.

```
3
Lattice="0.0000 3.3224 3.3224 3.3224 0.0000 3.3224 3.3224 3.3224 0.0000" Properties=species:S:1:pos:R:3 pbc="T T T"
Be 0.0000 0.0000 0.0000
Np 1.6612 1.6612 1.6612
Sm 4.9836 4.9836 4.9836
```

Calculated values
Excess energy over the best structure of this formula in the dataset   0 meV per atom
Crystal system   cubic
Space group   F-43m (216)

[4]
The following is a GGA-PBE calculation of NpTaBe after structural relaxation, from OQMD.

```
3
Lattice="2.9139 -3.0714 -0.6257 -0.3469 -3.7317 2.0663 -1.0569 -3.5463 -2.1500" Properties=species:S:1:pos:R:3 pbc="T T T"
Be 0.0000 0.0000 0.0000
Np 0.3775 -2.5874 -0.1773
Ta 1.1326 -7.7621 -0.5320
```

Calculated values
Excess energy over the best structure of this formula in the dataset   0 meV per atom
Crystal system   cubic
Space group   F-43m (216)

[5]
The following is a GGA-PBE calculation of NpTaBe after structural relaxation, from OQMD.

```
3
Lattice="-3.9789 -1.6905 -0.5556 -3.3853 1.6205 2.2163 -3.0704 2.2910 -2.0790" Properties=species:S:1:pos:R:3 pbc="T T T"
Np 0.0000 0.0000 0.0000
Be -2.6087 0.5553 -0.1046
Ta -7.8260 1.6658 -0.3138
```

Calculated values
Excess energy over the best structure of this formula in the dataset   832 meV per atom
Crystal system   cubic
Space group   F-43m (216)

[6]
The following is a GGA-PBE calculation of TbNpBe after structural relaxation, from OQMD.

```
3
Lattice="0.0000 3.3019 3.3019 3.3019 0.0000 3.3019 3.3019 3.3019 0.0000" Properties=species:S:1:pos:R:3 pbc="T T T"
Tb 4.9528 4.9528 4.9528
Be 0.0000 0.0000 0.0000
Np 1.6509 1.6509 1.6509
```

Calculated values
Excess energy over the best structure of this formula in the dataset   0 meV per atom
Crystal system   cubic
Space group   F-43m (216)